Entry 1:
First-principles (PBE-GGA) data for a relaxed Tl3AsN crystal, as listed in the Alexandria database.

The structure in POSCAR format:
```
Tl3AsN
1.0
4.9368 0.0000 0.0000
0.0000 4.9368 0.0000
0.0000 0.0000 4.9368
Tl N As
3 1 1
Direct
0.5000 0.0000 0.0000
0.0000 0.0000 0.5000
0.0000 0.5000 0.0000
0.0000 0.0000 0.0000
0.5000 0.5000 0.5000
```

Summary:
ΔE_f (raw)   0.664 eV per atom
Space-group type   Pm-3m (221)
E above lowest polymorph   0.0 meV/atom
Theoretical density   9.7 g cm⁻³

***

Entry 2:
First-principles (PBE-GGA) data for a relaxed In2MoAs crystal, as listed in the Alexandria database.

The structure in POSCAR format:
```
In2MoAs
1.0
2.9585 0.0000 0.0000
0.0000 2.9585 0.0000
0.0000 0.0000 9.2723
Mo In As
1 2 1
Direct
0.5000 0.5000 0.2500
0.0000 0.0000 0.0203
0.0000 0.0000 0.4797
0.5000 0.5000 0.7500
```

Summary:
DFT formation energy   1.81 eV/f.u.
Space-group type   P4/mmm (123)
Theoretical density   8.2 g cm⁻³